DFT (PBE) results for crystalline NaTc2Ni2 at its relaxed geometry.

Values from the calculation:
Its total energy is -6.43 eV/atom. The polymorph energy (0 for the lowest one) comes out at 0.000 eV/atom. Its formation energy is 295 meV per atom. As for the magnetization: 0.34 μB/f.u.

a = 7.658 Å, b = 7.658 Å, c = 2.526 Å
α = 90.00°, β = 90.00°, γ = 90.00°
Each line ends with the local moment (μB).
Element x y z (fractional)
Ni: 0.174 0.674 0.500  0.13
Ni: 0.674 0.826 0.500  0.13
Ni: 0.826 0.326 0.500  0.13
Ni: 0.326 0.174 0.500  0.13
Tc: 0.383 0.883 0.000  0.04
Tc: 0.883 0.617 0.000  0.05
Tc: 0.617 0.117 0.000  0.04
Tc: 0.117 0.383 0.000  0.05
Na: 0.000 0.000 0.000  0.00
Na: 0.500 0.500 0.000  0.00